# KCo2Te | Alexandria | GGA-PBE | relaxed
# Total magnetization   3.18 μB/cell
# Formation energy without anion corrections   0.31 eV per atom
# Fermi-level density of states   0.9428 states/eV/atom
# Density   5.26 g/cm3
data_KCo2Te
_chemical_formula_sum 'K1 Co2 Te1'
_symmetry_space_group_name_H-M 'P 1 m 1'
_symmetry_Int_Tables_number 6
_cell_length_a 3.128
_cell_length_b 3.835
_cell_length_c 7.513
_cell_angle_alpha 90.00
_cell_angle_beta 94.59
_cell_angle_gamma 90.00
loop_
_symmetry_equiv_pos_as_xyz
'x,y,z'
'x,-y,z'
loop_
_atom_site_label
_atom_site_fract_x
_atom_site_fract_y
_atom_site_fract_z
_atom_site_occupancy
K1 0.000 0.000 0.000 1
Co1 0.119 0.500 0.638 1
Co2 0.583 0.000 0.593 1
Te1 0.568 0.500 0.354 1